ScSiHg2, optimized geometry, DFT PBE; DOS(E_F) = 2.11 states/eV per cell; mass density = 9.16 Mg/m³; ΔE_f (raw) = -0.043 eV per atom; total energy = -3.133 eV/atom
1.0
5.250 0.000 0.000
0.000 3.353 -0.008
0.000 0.010 4.881
Hg Sc Si
2 1 1
Direct
0.000 0.988 0.998
0.000 0.512 0.502
0.500 0.250 0.250
0.500 0.750 0.750